VASP calculation (PBE-GGA) on an optimized crystal structure of Tl2HgOs.

Properties
The value obtained for the energy above the lowest structure with this stoichiometry is 149.6 meV/atom. For the formation energy, the calculation gives 288 kJ/mol of formula units.

```
data_Tl2HgOs
_cell_length_a 3.155
_cell_length_b 3.155
_cell_length_c 9.381
_cell_angle_alpha 90.00
_cell_angle_beta 90.00
_cell_angle_gamma 90.00
_space_group_name_H-M_alt 'P 4/m m m'
_space_group_IT_number 123
_space_group_name_Hall '-P 4 2'
loop_
_atom_site_label
_atom_site_fract_x
_atom_site_fract_y
_atom_site_fract_z
Tl1 0.000 0.000 0.202
Hg1 0.500 0.500 0.500
Os1 0.500 0.500 0.000
```